(1)
First-principles (PBE-GGA) data for a relaxed structure of Li5Re2H12, as listed in Alexandria.

Lattice parameters (Å, degrees): 10.355 5.105 6.407 90.00 106.92 90.00
Space group C2/m (No. 12)
One atom of each set of equivalent atoms:
Li1 0.000 0.000 0.000 [2 per cell]
Li2 0.203 0.500 0.312 [4 per cell]
Li3 0.205 0.500 0.880 [4 per cell]
Re1 0.000 0.235 0.500 [4 per cell]
H1 0.005 0.500 0.300 [4 per cell]
H2 0.030 0.000 0.311 [4 per cell]
H3 0.150 0.254 0.069 [8 per cell]
H4 0.172 0.290 0.590 [8 per cell]

Calculated values
Final energy (eV per cell): -148.34
DOS at the Fermi energy (states/eV per atom): 0.18
Total moment (μB/cell): 0.000


(2)
First-principles (PBE-GGA) data for a relaxed structure of CsCu4Hg3Br12, as listed in Alexandria.

Lattice parameters (Å, degrees): 14.6989 14.6989 11.1807 90.00 90.00 120.00
Space group R32 (No. 155, hexagonal axes)
One atom of each set of equivalent atoms:
Cs1 0.0000 0.0000 0.0000 [3 per cell]
Cu1 0.0000 0.0000 0.5000 [3 per cell]
Cu2 0.0000 0.4225 0.5000 [9 per cell]
Hg1 0.0000 0.5652 0.0000 [9 per cell]
Br1 0.0000 0.5871 0.5000 [9 per cell]
Br2 0.0000 0.8397 0.5000 [9 per cell]
Br3 0.0446 0.2083 0.2045 [18 per cell]

Calculated values
DOS at the Fermi energy (states/eV per atom): 0.53
Total moment (μB/cell): 3.042
Formation energy (no corrections) (eV per formula unit): -9.2


(3)
First-principles (PBE-GGA) data for a relaxed structure of Ni2AsW, as listed in Alexandria.

Lattice parameters (Å, degrees): 3.715 3.715 3.808 90.00 90.00 90.00
Space group P4/mmm (No. 123)
One atom of each set of equivalent atoms:
Ni1 0.000 0.500 0.000 [2 per cell]
As1 0.000 0.000 0.500 [1 per cell]
W1 0.500 0.500 0.500 [1 per cell]

Calculated values
DOS at the Fermi energy (states/eV per atom): 1.26
Total moment (μB/cell): 0.017
ΔE_f (eV per formula unit): 0.5


(4)
First-principles (PBE-GGA) data for a relaxed structure of Ba2ErHg10, as listed in Alexandria.

Lattice parameters (Å, degrees): 11.030 12.820 6.412 90.00 90.00 90.00
Space group Pbam (No. 55)
One atom of each set of equivalent atoms:
Ba1 0.146 0.154 0.000 [4 per cell]
Er1 0.000 0.500 0.500 [2 per cell]
Hg1 0.036 0.884 0.500 [4 per cell]
Hg2 0.071 0.686 0.232 [8 per cell]
Hg3 0.194 0.319 0.500 [4 per cell]
Hg4 0.233 0.054 0.500 [4 per cell]

Calculated values
DOS at the Fermi energy (states/eV per atom): 0.50
Total moment (μB/cell): 0.000
ΔE_f (eV per formula unit): -2.3


(5)
First-principles (PBE-GGA) data for a relaxed structure of SrNbTlPb2, as listed in Alexandria.

Lattice parameters (Å, degrees): 6.067 6.067 5.362 90.00 90.00 90.00
Space group P4/mmm (No. 123)
One atom of each set of equivalent atoms:
Sr1 0.000 0.000 0.000 [1 per cell]
Nb1 0.000 0.000 0.500 [1 per cell]
Tl1 0.500 0.500 0.500 [1 per cell]
Pb1 0.000 0.500 0.000 [2 per cell]

Calculated values
DOS at the Fermi energy (states/eV per atom): 1.22
Total moment (μB/cell): 1.939
ΔE_f (eV per formula unit): 6.8


(6)
First-principles (PBE-GGA) data for a relaxed structure of KZnCr, as listed in Alexandria.

Lattice parameters (Å, degrees): 3.151 4.120 12.339 90.00 90.00 90.00
Space group Imm2 (No. 44)
One atom of each set of equivalent atoms:
K1 0.000 0.000 0.000 [2 per cell]
Zn1 0.000 0.000 0.724 [2 per cell]
Cr1 0.000 0.000 0.271 [2 per cell]

Calculated values
DOS at the Fermi energy (states/eV per atom): 0.59
Total moment (μB/cell): 8.368
ΔE to the lowest computed polymorph (meV/atom): 0
ΔE_f (eV per formula unit): 1.8


(7)
First-principles (PBE-GGA) data for a relaxed structure of La12Dy2Ho5, as listed in Alexandria.

Lattice parameters (Å, degrees): 19.490 7.631 10.061 90.00 117.70 90.00
Space group C2/m (No. 12)
One atom of each set of equivalent atoms:
La1 0.001 0.000 0.296 [4 per cell]
La2 0.016 0.500 0.853 [4 per cell]
La3 0.160 0.249 0.345 [8 per cell]
La4 0.164 0.231 0.993 [8 per cell]
Dy1 0.000 0.301 0.500 [4 per cell]
Ho1 0.000 0.000 0.000 [2 per cell]
Ho2 0.174 0.000 0.668 [4 per cell]
Ho3 0.178 0.500 0.691 [4 per cell]

Calculated values
DOS at the Fermi energy (states/eV per atom): 1.62
Total moment (μB/cell): 0.000
ΔE to the lowest computed polymorph (meV/atom): 55
ΔE_f (eV per formula unit): 2.9


(8)
First-principles (PBE-GGA) data for a relaxed structure of NaHgBO2, as listed in Alexandria.

Lattice parameters (Å, degrees): 4.081 4.081 5.459 90.00 90.00 90.00
Space group P4/mmm (No. 123)
One atom of each set of equivalent atoms:
Na1 0.000 0.000 0.000 [1 per cell]
Hg1 0.000 0.000 0.500 [1 per cell]
B1 0.500 0.500 0.500 [1 per cell]
O1 0.000 0.500 0.000 [2 per cell]

Calculated values
DOS at the Fermi energy (states/eV per atom): 0.97
Total moment (μB/cell): 0.054
Formation energy (no corrections) (eV per formula unit): 6.7